DFT (PBE+U) results for Mn2HSeO after structural relaxation.

Properties
SG = Pm (6)
excess energy over the best structure of this formula in the dataset = 0.059 eV/atom
calculated density = 4.1 g cm⁻³

The structure in POSCAR format:
```
Mn2HSeO
1.0
3.608 0.000 0.000
0.000 3.601 0.000
-1.801 0.000 6.353
Mn H Se O
2 1 1 1
direct
0.000 0.000 0.000
0.223 0.500 0.443
0.737 0.500 0.471
0.436 0.500 0.872
0.159 0.000 0.314
```